Record 1
# PmGa2NiPt4, relaxed, DFT PBE
# E_form = -678 meV per atom
# calculated volume = 414.0 Å³ per cell
# crystal system = trigonal
# DOS at the Fermi energy = 4.9 states/eV/f.u.
data_PmGa2NiPt4
_cell_length_a 4.2981
_cell_length_b 4.2981
_cell_length_c 25.8772
_cell_angle_alpha 90.00
_cell_angle_beta 90.00
_cell_angle_gamma 120.00
_symmetry_space_group_name_H-M 'R -3 m'
_symmetry_Int_Tables_number 166
_symmetry_space_group_name_Hall '-R 3 2"'
loop_
_atom_site_label
_atom_site_fract_x
_atom_site_fract_y
_atom_site_fract_z
Pm1 0.0000 0.0000 0.0000
Ga1 0.0000 0.0000 0.2385
Ni1 0.0000 0.0000 0.5000
Pt1 0.0000 0.0000 0.1334
Pt2 0.0000 0.0000 0.4026

Record 2
# Pm2Ga3Ni4Pt, relaxed, DFT PBE
# E_form = -569 meV per atom
# calculated volume = 170.1 Å³ per cell
# crystal system = tetragonal
# DOS at the Fermi energy = 8.6 states/eV/f.u.
data_Pm2Ga3Ni4Pt
_cell_length_a 4.067
_cell_length_b 4.067
_cell_length_c 10.285
_cell_angle_alpha 90.00
_cell_angle_beta 90.00
_cell_angle_gamma 90.00
_symmetry_space_group_name_H-M 'P -4 m 2'
_symmetry_Int_Tables_number 115
_symmetry_space_group_name_Hall 'P -4 -2'
loop_
_atom_site_label
_atom_site_fract_x
_atom_site_fract_y
_atom_site_fract_z
Pm1 0.000 0.500 0.248
Ga1 0.000 0.000 0.000
Ga2 0.000 0.500 0.623
Ni1 0.000 0.000 0.500
Ni2 0.000 0.500 0.855
Ni3 0.500 0.500 0.500
Pt1 0.500 0.500 0.000

Record 3
# PmGa5Ni2Pt, relaxed, DFT PBE
# E_form = -346 meV per atom
# calculated volume = 172.5 Å³ per cell
# crystal system = tetragonal
# DOS at the Fermi energy = 4.4 states/eV/f.u.
data_PmGa5Ni2Pt
_cell_length_a 4.268
_cell_length_b 4.268
_cell_length_c 9.469
_cell_angle_alpha 90.00
_cell_angle_beta 90.00
_cell_angle_gamma 90.00
_symmetry_space_group_name_H-M 'P 4/m m m'
_symmetry_Int_Tables_number 123
_symmetry_space_group_name_Hall '-P 4 2'
loop_
_atom_site_label
_atom_site_fract_x
_atom_site_fract_y
_atom_site_fract_z
Pm1 0.000 0.000 0.000
Ga1 0.000 0.500 0.338
Ga2 0.500 0.500 0.000
Ni1 0.500 0.500 0.231
Pt1 0.000 0.000 0.500

Record 4
# Pm2Ga3NiPt4, relaxed, DFT PBE
# E_form = -878 meV per atom
# calculated volume = 187.2 Å³ per cell
# crystal system = tetragonal
# DOS at the Fermi energy = 6.0 states/eV/f.u.
data_Pm2Ga3NiPt4
_cell_length_a 4.134
_cell_length_b 4.134
_cell_length_c 10.956
_cell_angle_alpha 90.00
_cell_angle_beta 90.00
_cell_angle_gamma 90.00
_symmetry_space_group_name_H-M 'P -4 m 2'
_symmetry_Int_Tables_number 115
_symmetry_space_group_name_Hall 'P -4 -2'
loop_
_atom_site_label
_atom_site_fract_x
_atom_site_fract_y
_atom_site_fract_z
Pm1 0.000 0.500 0.240
Ga1 0.000 0.000 0.000
Ga2 0.000 0.500 0.635
Ni1 0.500 0.500 0.000
Pt1 0.000 0.000 0.500
Pt2 0.000 0.500 0.862
Pt3 0.500 0.500 0.500

Record 5
# PmGa3NiRh, relaxed, DFT PBE
# E_form = -471 meV per atom
# calculated volume = 441.4 Å³ per cell
# crystal system = orthorhombic
# DOS at the Fermi energy = 3.5 states/eV/f.u.
data_PmGa3NiRh
_cell_length_a 6.151
_cell_length_b 11.758
_cell_length_c 6.103
_cell_angle_alpha 90.00
_cell_angle_beta 90.00
_cell_angle_gamma 90.00
_symmetry_space_group_name_H-M 'C m c m'
_symmetry_Int_Tables_number 63
_symmetry_space_group_name_Hall '-C 2c 2'
loop_
_atom_site_label
_atom_site_fract_x
_atom_site_fract_y
_atom_site_fract_z
Pm1 0.000 0.230 0.250
Ga1 0.000 0.339 0.750
Ga2 0.214 0.000 0.000
Ni1 0.000 0.459 0.250
Rh1 0.000 0.133 0.750

Record 6
# Pm2Ga3NiRh4, relaxed, DFT PBE
# E_form = -684 meV per atom
# calculated volume = 182.1 Å³ per cell
# crystal system = tetragonal
# DOS at the Fermi energy = 7.4 states/eV/f.u.
data_Pm2Ga3NiRh4
_cell_length_a 4.229
_cell_length_b 4.229
_cell_length_c 10.184
_cell_angle_alpha 90.00
_cell_angle_beta 90.00
_cell_angle_gamma 90.00
_symmetry_space_group_name_H-M 'P -4 m 2'
_symmetry_Int_Tables_number 115
_symmetry_space_group_name_Hall 'P -4 -2'
loop_
_atom_site_label
_atom_site_fract_x
_atom_site_fract_y
_atom_site_fract_z
Pm1 0.000 0.500 0.249
Ga1 0.000 0.500 0.872
Ga2 0.500 0.500 0.500
Ni1 0.000 0.000 0.500
Rh1 0.000 0.000 0.000
Rh2 0.000 0.500 0.632
Rh3 0.500 0.500 0.000

Record 7
# PmGa2NiRh, relaxed, DFT PBE
# E_form = -663 meV per atom
# calculated volume = 178.3 Å³ per cell
# crystal system = tetragonal
# DOS at the Fermi energy = 2.8 states/eV/f.u.
data_PmGa2NiRh
_cell_length_a 4.117
_cell_length_b 4.117
_cell_length_c 10.521
_cell_angle_alpha 90.00
_cell_angle_beta 90.00
_cell_angle_gamma 90.00
_symmetry_space_group_name_H-M 'I -4 m 2'
_symmetry_Int_Tables_number 119
_symmetry_space_group_name_Hall 'I -4 -2'
loop_
_atom_site_label
_atom_site_fract_x
_atom_site_fract_y
_atom_site_fract_z
Pm1 0.000 0.000 0.000
Ga1 0.000 0.000 0.376
Ni1 0.000 0.500 0.750
Rh1 0.000 0.500 0.250

Record 8
# Pm2GaNi5Rh2, relaxed, DFT PBE
# E_form = -252 meV per atom
# calculated volume = 320.1 Å³ per cell
# crystal system = tetragonal
# DOS at the Fermi energy = 9.8 states/eV/f.u.
data_Pm2GaNi5Rh2
_cell_length_a 9.258
_cell_length_b 9.258
_cell_length_c 3.735
_cell_angle_alpha 90.00
_cell_angle_beta 90.00
_cell_angle_gamma 90.00
_symmetry_space_group_name_H-M 'P 4/m b m'
_symmetry_Int_Tables_number 127
_symmetry_space_group_name_Hall '-P 4 2ab'
loop_
_atom_site_label
_atom_site_fract_x
_atom_site_fract_y
_atom_site_fract_z
Pm1 0.171 0.329 0.000
Ga1 0.000 0.000 0.000
Ni1 0.000 0.500 0.500
Ni2 0.057 0.813 0.500
Rh1 0.130 0.630 0.000

Record 9
# PmGa5Ni2Rh, relaxed, DFT PBE
# E_form = -357 meV per atom
# calculated volume = 152.5 Å³ per cell
# crystal system = tetragonal
# DOS at the Fermi energy = 4.1 states/eV/f.u.
data_PmGa5Ni2Rh
_cell_length_a 4.641
_cell_length_b 4.641
_cell_length_c 7.083
_cell_angle_alpha 90.00
_cell_angle_beta 90.00
_cell_angle_gamma 90.00
_symmetry_space_group_name_H-M 'P 4/m m m'
_symmetry_Int_Tables_number 123
_symmetry_space_group_name_Hall '-P 4 2'
loop_
_atom_site_label
_atom_site_fract_x
_atom_site_fract_y
_atom_site_fract_z
Pm1 0.000 0.000 0.000
Ga1 0.000 0.500 0.310
Ga2 0.500 0.500 0.000
Ni1 0.500 0.500 0.323
Rh1 0.000 0.000 0.500

Record 10
# PmGaNiRh, relaxed, DFT PBE
# E_form = -455 meV per atom
# calculated volume = 277.3 Å³ per cell
# crystal system = cubic
# DOS at the Fermi energy = 3.5 states/eV/f.u.
data_PmGaNiRh
_cell_length_a 6.521
_cell_length_b 6.521
_cell_length_c 6.521
_cell_angle_alpha 90.00
_cell_angle_beta 90.00
_cell_angle_gamma 90.00
_symmetry_space_group_name_H-M 'F -4 3 m'
_symmetry_Int_Tables_number 216
_symmetry_space_group_name_Hall 'F -4 2 3'
loop_
_atom_site_label
_atom_site_fract_x
_atom_site_fract_y
_atom_site_fract_z
Pm1 0.000 0.000 0.000
Ga1 0.000 0.000 0.500
Ni1 0.250 0.250 0.750
Rh1 0.250 0.250 0.250

Record 11
# PmGa4Ni2Rh, relaxed, DFT PBE
# E_form = -536 meV per atom
# calculated volume = 395.4 Å³ per cell
# crystal system = trigonal
# DOS at the Fermi energy = 4.7 states/eV/f.u.
data_PmGa4Ni2Rh
_cell_length_a 4.1340
_cell_length_b 4.1340
_cell_length_c 26.7132
_cell_angle_alpha 90.00
_cell_angle_beta 90.00
_cell_angle_gamma 120.00
_symmetry_space_group_name_H-M 'R -3 m'
_symmetry_Int_Tables_number 166
_symmetry_space_group_name_Hall '-R 3 2"'
loop_
_atom_site_label
_atom_site_fract_x
_atom_site_fract_y
_atom_site_fract_z
Pm1 0.0000 0.0000 0.0000
Ga1 0.0000 0.0000 0.1292
Ga2 0.0000 0.0000 0.4028
Ni1 0.0000 0.0000 0.2298
Rh1 0.0000 0.0000 0.5000

Record 12
# Pm2Ga4Ni3Rh, relaxed, DFT PBE
# E_form = -633 meV per atom
# calculated volume = 173.1 Å³ per cell
# crystal system = tetragonal
# DOS at the Fermi energy = 7.1 states/eV/f.u.
data_Pm2Ga4Ni3Rh
_cell_length_a 4.176
_cell_length_b 4.176
_cell_length_c 9.928
_cell_angle_alpha 90.00
_cell_angle_beta 90.00
_cell_angle_gamma 90.00
_symmetry_space_group_name_H-M 'P -4 m 2'
_symmetry_Int_Tables_number 115
_symmetry_space_group_name_Hall 'P -4 -2'
loop_
_atom_site_label
_atom_site_fract_x
_atom_site_fract_y
_atom_site_fract_z
Pm1 0.000 0.500 0.248
Ga1 0.000 0.000 0.000
Ga2 0.000 0.500 0.634
Ga3 0.500 0.500 0.000
Ni1 0.000 0.500 0.873
Ni2 0.500 0.500 0.500
Rh1 0.000 0.000 0.500

Record 13
# Pm2Ga5Ni2Rh, relaxed, DFT PBE
# E_form = -497 meV per atom
# calculated volume = 350.5 Å³ per cell
# crystal system = tetragonal
# DOS at the Fermi energy = 7.3 states/eV/f.u.
data_Pm2Ga5Ni2Rh
_cell_length_a 9.255
_cell_length_b 9.255
_cell_length_c 4.092
_cell_angle_alpha 90.00
_cell_angle_beta 90.00
_cell_angle_gamma 90.00
_symmetry_space_group_name_H-M 'P 4/m b m'
_symmetry_Int_Tables_number 127
_symmetry_space_group_name_Hall '-P 4 2ab'
loop_
_atom_site_label
_atom_site_fract_x
_atom_site_fract_y
_atom_site_fract_z
Pm1 0.187 0.313 0.000
Ga1 0.000 0.500 0.500
Ga2 0.053 0.798 0.500
Ni1 0.107 0.607 0.000
Rh1 0.000 0.000 0.000

Record 14
# PmGa4NiRh2, relaxed, DFT PBE
# E_form = -621 meV per atom
# calculated volume = 403.5 Å³ per cell
# crystal system = trigonal
# DOS at the Fermi energy = 5.0 states/eV/f.u.
data_PmGa4NiRh2
_cell_length_a 4.2292
_cell_length_b 4.2292
_cell_length_c 26.0504
_cell_angle_alpha 90.00
_cell_angle_beta 90.00
_cell_angle_gamma 120.00
_symmetry_space_group_name_H-M 'R -3 m'
_symmetry_Int_Tables_number 166
_symmetry_space_group_name_Hall '-R 3 2"'
loop_
_atom_site_label
_atom_site_fract_x
_atom_site_fract_y
_atom_site_fract_z
Pm1 0.0000 0.0000 0.0000
Ga1 0.0000 0.0000 0.1322
Ga2 0.0000 0.0000 0.4027
Ni1 0.0000 0.0000 0.5000
Rh1 0.0000 0.0000 0.2307

Record 15
# Pm2Ga4Ni3Ru, relaxed, DFT PBE
# E_form = -549 meV per atom
# calculated volume = 173.6 Å³ per cell
# crystal system = tetragonal
# DOS at the Fermi energy = 6.5 states/eV/f.u.
data_Pm2Ga4Ni3Ru
_cell_length_a 4.206
_cell_length_b 4.206
_cell_length_c 9.816
_cell_angle_alpha 90.00
_cell_angle_beta 90.00
_cell_angle_gamma 90.00
_symmetry_space_group_name_H-M 'P -4 m 2'
_symmetry_Int_Tables_number 115
_symmetry_space_group_name_Hall 'P -4 -2'
loop_
_atom_site_label
_atom_site_fract_x
_atom_site_fract_y
_atom_site_fract_z
Pm1 0.000 0.500 0.244
Ga1 0.000 0.000 0.500
Ga2 0.000 0.500 0.869
Ga3 0.500 0.500 0.500
Ni1 0.000 0.000 0.000
Ni2 0.000 0.500 0.625
Ru1 0.500 0.500 0.000

Record 16
# Pm2Ga4NiRu3, relaxed, DFT PBE
# E_form = -439 meV per atom
# calculated volume = 182.9 Å³ per cell
# crystal system = tetragonal
# DOS at the Fermi energy = 5.9 states/eV/f.u.
data_Pm2Ga4NiRu3
_cell_length_a 4.217
_cell_length_b 4.217
_cell_length_c 10.286
_cell_angle_alpha 90.00
_cell_angle_beta 90.00
_cell_angle_gamma 90.00
_symmetry_space_group_name_H-M 'P -4 m 2'
_symmetry_Int_Tables_number 115
_symmetry_space_group_name_Hall 'P -4 -2'
loop_
_atom_site_label
_atom_site_fract_x
_atom_site_fract_y
_atom_site_fract_z
Pm1 0.000 0.500 0.241
Ga1 0.000 0.000 0.500
Ga2 0.000 0.500 0.877
Ga3 0.500 0.500 0.500
Ni1 0.500 0.500 0.000
Ru1 0.000 0.000 0.000
Ru2 0.000 0.500 0.633

Record 17
# PmGa3NiRu, relaxed, DFT PBE
# E_form = -338 meV per atom
# calculated volume = 462.6 Å³ per cell
# crystal system = orthorhombic
# DOS at the Fermi energy = 2.8 states/eV/f.u.
data_PmGa3NiRu
_cell_length_a 7.527
_cell_length_b 10.671
_cell_length_c 5.760
_cell_angle_alpha 90.00
_cell_angle_beta 90.00
_cell_angle_gamma 90.00
_symmetry_space_group_name_H-M 'C m c m'
_symmetry_Int_Tables_number 63
_symmetry_space_group_name_Hall '-C 2c 2'
loop_
_atom_site_label
_atom_site_fract_x
_atom_site_fract_y
_atom_site_fract_z
Pm1 0.000 0.215 0.250
Ga1 0.000 0.306 0.750
Ga2 0.248 0.000 0.000
Ni1 0.000 0.477 0.250
Ru1 0.000 0.081 0.750

Record 18
# Pm2Ga3Ni4Ru, relaxed, DFT PBE
# E_form = -451 meV per atom
# calculated volume = 167.1 Å³ per cell
# crystal system = tetragonal
# DOS at the Fermi energy = 9.3 states/eV/f.u.
data_Pm2Ga3Ni4Ru
_cell_length_a 3.993
_cell_length_b 3.993
_cell_length_c 10.480
_cell_angle_alpha 90.00
_cell_angle_beta 90.00
_cell_angle_gamma 90.00
_symmetry_space_group_name_H-M 'P -4 m 2'
_symmetry_Int_Tables_number 115
_symmetry_space_group_name_Hall 'P -4 -2'
loop_
_atom_site_label
_atom_site_fract_x
_atom_site_fract_y
_atom_site_fract_z
Pm1 0.000 0.500 0.246
Ga1 0.000 0.000 0.000
Ga2 0.000 0.500 0.628
Ni1 0.000 0.000 0.500
Ni2 0.000 0.500 0.860
Ni3 0.500 0.500 0.500
Ru1 0.500 0.500 0.000

Record 19
# PmGa4NiRu2, relaxed, DFT PBE
# E_form = -433 meV per atom
# calculated volume = 401.2 Å³ per cell
# crystal system = trigonal
# DOS at the Fermi energy = 4.0 states/eV/f.u.
data_PmGa4NiRu2
_cell_length_a 4.2284
_cell_length_b 4.2284
_cell_length_c 25.9122
_cell_angle_alpha 90.00
_cell_angle_beta 90.00
_cell_angle_gamma 120.00
_symmetry_space_group_name_H-M 'R -3 m'
_symmetry_Int_Tables_number 166
_symmetry_space_group_name_Hall '-R 3 2"'
loop_
_atom_site_label
_atom_site_fract_x
_atom_site_fract_y
_atom_site_fract_z
Pm1 0.0000 0.0000 0.0000
Ga1 0.0000 0.0000 0.1315
Ga2 0.0000 0.0000 0.4027
Ni1 0.0000 0.0000 0.5000
Ru1 0.0000 0.0000 0.2305

Record 20
# PmGaNiRu, relaxed, DFT PBE
# E_form = -218 meV per atom
# calculated volume = 272.2 Å³ per cell
# crystal system = cubic
# DOS at the Fermi energy = 2.2 states/eV/f.u.
data_PmGaNiRu
_cell_length_a 6.481
_cell_length_b 6.481
_cell_length_c 6.481
_cell_angle_alpha 90.00
_cell_angle_beta 90.00
_cell_angle_gamma 90.00
_symmetry_space_group_name_H-M 'F -4 3 m'
_symmetry_Int_Tables_number 216
_symmetry_space_group_name_Hall 'F -4 2 3'
loop_
_atom_site_label
_atom_site_fract_x
_atom_site_fract_y
_atom_site_fract_z
Pm1 0.000 0.000 0.000
Ga1 0.000 0.000 0.500
Ni1 0.250 0.250 0.250
Ru1 0.250 0.250 0.750

Record 21
# PmGa4Ni2Ru, relaxed, DFT PBE
# E_form = -457 meV per atom
# calculated volume = 394.4 Å³ per cell
# crystal system = trigonal
# DOS at the Fermi energy = 4.4 states/eV/f.u.
data_PmGa4Ni2Ru
_cell_length_a 4.1197
_cell_length_b 4.1197
_cell_length_c 26.8359
_cell_angle_alpha 90.00
_cell_angle_beta 90.00
_cell_angle_gamma 120.00
_symmetry_space_group_name_H-M 'R -3 m'
_symmetry_Int_Tables_number 166
_symmetry_space_group_name_Hall '-R 3 2"'
loop_
_atom_site_label
_atom_site_fract_x
_atom_site_fract_y
_atom_site_fract_z
Pm1 0.0000 0.0000 0.0000
Ga1 0.0000 0.0000 0.1306
Ga2 0.0000 0.0000 0.4036
Ni1 0.0000 0.0000 0.2312
Ru1 0.0000 0.0000 0.5000

Record 22
# Pm2Ga2NiRu, relaxed, DFT PBE
# E_form = -532 meV per atom
# calculated volume = 502.7 Å³ per cell
# crystal system = orthorhombic
# DOS at the Fermi energy = 5.5 states/eV/f.u.
data_Pm2Ga2NiRu
_cell_length_a 6.009
_cell_length_b 13.545
_cell_length_c 6.176
_cell_angle_alpha 90.00
_cell_angle_beta 90.00
_cell_angle_gamma 90.00
_symmetry_space_group_name_H-M 'I b a m'
_symmetry_Int_Tables_number 72
_symmetry_space_group_name_Hall '-I 2 2c'
loop_
_atom_site_label
_atom_site_fract_x
_atom_site_fract_y
_atom_site_fract_z
Pm1 0.244 0.155 0.000
Ga1 0.238 0.404 0.000
Ni1 0.000 0.500 0.250
Ru1 0.000 0.000 0.250

Record 23
# PmGaNiSb, relaxed, DFT PBE
# calculated volume = 331.3 Å³ per cell
# crystal system = cubic
# DOS at the Fermi energy = 2.1 states/eV/f.u.
# formation energy from raw total energies = -0.28 eV/atom
data_PmGaNiSb
_cell_length_a 6.919
_cell_length_b 6.919
_cell_length_c 6.919
_cell_angle_alpha 90.00
_cell_angle_beta 90.00
_cell_angle_gamma 90.00
_symmetry_space_group_name_H-M 'F -4 3 m'
_symmetry_Int_Tables_number 216
_symmetry_space_group_name_Hall 'F -4 2 3'
loop_
_atom_site_label
_atom_site_fract_x
_atom_site_fract_y
_atom_site_fract_z
Pm1 0.000 0.000 0.000
Ga1 0.250 0.250 0.750
Ni1 0.250 0.250 0.250
Sb1 0.000 0.000 0.500